1.
VASP calculation (GGA-PBE) on a relaxed structure of FeSi25Ge6.

Computed properties:
**Total energy**: -5.295 eV/atom

Lattice parameters (Å, degrees): 6.726 6.727 15.546 90.03 90.00 109.49
Sites, in units of the cell vectors:
Ge: 0.500 0.501 0.999
Ge: 0.619 0.879 0.502
Ge: 0.499 0.494 0.500
Ge: 0.004 0.003 0.503
Ge: 0.625 0.874 0.247
Ge: 0.125 0.874 0.371
Si: 0.498 0.002 0.120
Si: 0.627 0.373 0.126
Si: 0.626 0.374 0.372
Si: 0.627 0.373 0.873
Si: 0.122 0.878 0.116
Si: 0.625 0.874 0.753
Si: 0.121 0.380 0.501
Si: 0.503 0.004 0.373
Si: 0.500 0.501 0.751
Si: 0.999 0.500 0.123
Si: 0.000 0.501 0.627
Si: 0.626 0.374 0.629
Si: 0.004 0.003 0.243
Si: 0.499 0.494 0.249
Si: 0.999 0.493 0.373
Si: 0.999 0.500 0.876
Si: 0.112 0.356 0.000
Si: 0.126 0.874 0.631
Si: 0.126 0.375 0.248
Si: 0.999 0.001 0.755
Si: 0.122 0.878 0.882
Si: 0.126 0.375 0.751
Si: 0.645 0.888 0.999
Si: 0.498 0.002 0.630
Si: 0.500 0.001 0.876
Fe: 0.001 0.000 0.999

***

2.
VASP calculation (GGA-PBE) on a relaxed structure of TbZn2.

Computed properties:
**DFT formation energy**: -0.6 eV/f.u.

Lattice parameters (Å, degrees): 4.923 10.540 4.509 90.00 90.00 90.00
Sites, in units of the cell vectors:
Zn: 0.999 0.694 0.000
Zn: 0.499 0.194 0.000
Zn: 0.999 0.306 0.000
Zn: 0.835 0.806 0.500
Zn: 0.499 0.806 0.000
Zn: 0.835 0.194 0.500
Zn: 0.335 0.694 0.500
Zn: 0.335 0.306 0.500
Tb: 0.400 0.000 0.500
Tb: 0.900 0.500 0.500
Tb: 0.933 0.000 0.000
Tb: 0.433 0.500 0.000

***

3.
VASP calculation (GGA-PBE) on a relaxed structure of CsCuSnTe3.

Computed properties:
**Energy relative to the lowest polymorph listed for this composition**: 0 meV per atom

Lattice parameters (Å, degrees): 12.967 4.501 14.481 90.00 90.00 90.00
Sites, in units of the cell vectors:
Sn: 0.923 0.500 0.268
Sn: 0.423 0.500 0.232
Sn: 0.577 0.000 0.768
Sn: 0.077 0.000 0.732
Te: 0.541 0.000 0.060
Te: 0.151 0.500 0.275
Te: 0.414 0.000 0.369
Te: 0.586 0.500 0.631
Te: 0.086 0.500 0.869
Te: 0.651 0.500 0.225
Te: 0.849 0.000 0.725
Te: 0.959 0.500 0.560
Te: 0.041 0.000 0.440
Te: 0.914 0.000 0.131
Te: 0.349 0.000 0.775
Te: 0.459 0.500 0.940
Cs: 0.718 0.000 0.443
Cs: 0.282 0.500 0.557
Cs: 0.218 0.000 0.057
Cs: 0.782 0.500 0.943
Cu: 0.716 0.000 0.157
Cu: 0.784 0.500 0.657
Cu: 0.284 0.500 0.843
Cu: 0.216 0.000 0.343

***

4.
VASP calculation (GGA-PBE) on a relaxed structure of GdSi2Ge2.

Computed properties:
**Energy relative to the lowest polymorph listed for this composition**: 0 meV per atom

Lattice parameters (Å, degrees): 4.375 4.375 6.206 90.00 90.00 120.00
Sites, in units of the cell vectors:
Ge: 0.667 0.333 0.671
Ge: 0.333 0.667 0.329
Gd: 0.000 0.000 0.000
Si: 0.667 0.333 0.270
Si: 0.333 0.667 0.730

***

5.
VASP calculation (GGA-PBE) on a relaxed structure of In4PdPt3.

Computed properties:
**Total energy**: -4.744 eV/atom

Lattice parameters (Å, degrees): 5.277 5.277 5.277 89.78 89.78 89.78
Sites, in units of the cell vectors:
In: 0.157 0.343 0.658
In: 0.658 0.157 0.343
In: 0.843 0.843 0.843
In: 0.343 0.658 0.157
Pt: 0.649 0.348 0.852
Pt: 0.348 0.852 0.649
Pt: 0.852 0.649 0.348
Pd: 0.150 0.150 0.150

***

6.
VASP calculation (GGA-PBE) on a relaxed structure of AlFeReHg.

Computed properties:
**Energy relative to the lowest polymorph listed for this composition**: 37 meV per atom

Lattice parameters (Å, degrees): 4.440 4.440 4.440 60.00 60.00 60.00
Sites, in units of the cell vectors:
Re: 0.500 0.500 0.500
Al: 0.000 0.000 0.000
Hg: 0.250 0.250 0.250
Fe: 0.750 0.750 0.750